Dy2ScPaSb4: relaxed, PBE.

```
Dy2ScPaSb4
1.0
4.335 0.000 0.000
0.000 7.469 0.123
0.000 -2.617 7.048
Sc Dy Sb Pa
1 2 4 1
direct
0.000 0.000 0.000
0.000 0.500 0.500
0.500 0.000 0.500
0.500 0.241 0.240
0.000 0.244 0.754
0.500 0.759 0.760
0.000 0.756 0.246
0.500 0.500 0.000
```

Calculated values
Spin magnetization   0.75 Bohr magnetons per cell
Formation energy without anion corrections   -0.8992 eV per atom
Energy   -6.09 eV per atom
D(E_F)   6.4 states/eV per cell

TmTh3: relaxed, PBE.

```
TmTh3
1.0
3.547 0.000 0.000
0.000 5.871 0.000
0.000 0.000 6.134
Th Tm
3 1
direct
0.000 0.000 0.003
0.500 0.500 0.835
0.500 0.000 0.498
0.000 0.500 0.332
```

Calculated values
Spin magnetization   0.00 Bohr magnetons per cell
Energy   -6.63 eV per atom
D(E_F)   4.8 states/eV per cell
Energy of formation from the pure elements   49 meV/atom

Co2MoN: relaxed, PBE.

```
Co2MoN
1.0
2.052 -2.343 -2.507
0.940 -3.736 1.072
-1.804 -3.101 -1.766
N Co Mo
1 2 1
direct
0.000 0.000 0.000
0.750 0.750 0.750
0.250 0.250 0.250
0.500 0.500 0.500
```

Calculated values
Spin magnetization   0.82 Bohr magnetons per cell
Formation energy without anion corrections   1.2192 eV per atom
Energy   -7.12 eV per atom
D(E_F)   5.7 states/eV per cell

DyHoCu3: relaxed, PBE.

```
DyHoCu3
1.0
-1.284 0.358 -3.322
-3.913 -1.060 1.398
-1.865 12.106 3.953
Cu Dy Ho
6 2 2
direct
0.672 0.250 0.343
0.477 0.250 0.954
0.382 0.250 0.764
0.328 0.750 0.657
0.523 0.750 0.046
0.618 0.750 0.236
0.071 0.250 0.143
0.929 0.750 0.857
0.796 0.250 0.592
0.204 0.750 0.408
```

Calculated values
Spin magnetization   0.00 Bohr magnetons per cell
Energy   -4.55 eV per atom
D(E_F)   7.1 states/eV per cell
Energy of formation from the pure elements   -253 meV/atom

Li2SiS: relaxed, PBE.

```
Li2SiS
1.0
-1.067 -0.108 3.756
3.316 -1.732 -1.134
3.400 9.878 1.148
Li Si S
4 2 2
direct
0.952 0.326 0.341
0.223 0.878 0.159
0.678 0.772 0.516
0.401 0.208 0.680
0.502 0.441 0.000
0.808 0.057 0.921
0.584 0.597 0.241
0.031 0.475 0.573
```

Calculated values
Spin magnetization   0.00 Bohr magnetons per cell
Formation energy without anion corrections   -0.8086 eV per atom
Energy   -4.15 eV per atom

RbGeSN2: relaxed, PBE.

```
RbGeSN2
1.0
4.253 0.000 0.000
0.000 4.253 0.000
0.000 0.000 4.920
N S Rb Ge
2 1 1 1
direct
0.500 0.000 0.000
0.000 0.500 0.000
0.000 0.000 0.500
0.500 0.500 0.500
0.000 0.000 0.000
```

Calculated values
Spin magnetization   3.18 Bohr magnetons per cell
Formation energy without anion corrections   0.9131 eV per atom
Energy   -4.36 eV per atom
D(E_F)   1.9 states/eV per cell

CaPm2HoTl4: relaxed, PBE.

```
CaPm2HoTl4
1.0
-3.306 -3.413 2.662
-0.752 -5.065 -1.856
5.538 -5.656 5.198
Tl Pm Ca Ho
4 2 1 1
direct
0.622 0.622 0.133
0.873 0.873 0.382
0.127 0.127 0.618
0.378 0.378 0.867
0.747 0.747 0.760
0.253 0.253 0.240
0.000 0.000 0.000
0.500 0.500 0.500
```

Calculated values
Spin magnetization   0.00 Bohr magnetons per cell
Energy   -3.57 eV per atom
D(E_F)   5.2 states/eV per cell
Energy of formation from the pure elements   -377 meV/atom

Ac4CdGaHg2: relaxed, PBE.

```
Ac4CdGaHg2
1.0
5.687 0.000 0.000
2.844 4.925 0.000
2.844 1.642 9.306
Ac Cd Ga Hg
4 1 1 2
direct
0.379 0.379 0.864
0.129 0.129 0.614
0.621 0.621 0.136
0.871 0.871 0.386
0.000 0.000 0.000
0.500 0.500 0.500
0.254 0.254 0.237
0.746 0.746 0.763
```

Calculated values
Spin magnetization   0.00 Bohr magnetons per cell
Energy   -3.03 eV per atom
D(E_F)   10.6 states/eV per cell
Energy of formation from the pure elements   -410 meV/atom

Er3Tl2Bi: relaxed, PBE.

```
Er3Tl2Bi
1.0
-1.397 1.961 -2.588
-4.745 0.912 3.253
6.854 5.845 3.143
Tl Er Bi
2 3 1
direct
0.653 0.653 0.305
0.347 0.347 0.695
0.174 0.174 0.349
0.000 0.500 0.000
0.826 0.826 0.651
0.000 0.000 0.000
```

Calculated values
Spin magnetization   0.00 Bohr magnetons per cell
Energy   -3.87 eV per atom
D(E_F)   5.3 states/eV per cell
Energy of formation from the pure elements   -152 meV/atom

Pr3ZnGa2: relaxed, PBE.

```
Pr3ZnGa2
1.0
3.690 0.000 0.000
0.000 3.690 0.000
0.000 0.000 11.377
Pr Ga Zn
3 2 1
direct
0.000 0.000 0.665
0.000 0.000 0.000
0.000 0.000 0.335
0.500 0.500 0.829
0.500 0.500 0.171
0.500 0.500 0.500
```

Calculated values
Spin magnetization   0.00 Bohr magnetons per cell
Energy   -4.07 eV per atom
D(E_F)   5.4 states/eV per cell
Energy of formation from the pure elements   -459 meV/atom

LuZnH: relaxed, PBE.

```
LuZnH
1.0
-2.951 -0.745 0.664
0.922 -1.241 2.705
0.382 5.554 0.624
Lu H Zn
1 1 1
direct
0.718 0.718 0.436
0.269 0.269 0.539
0.013 0.013 0.025
```

Calculated values
Spin magnetization   0.33 Bohr magnetons per cell
Energy   -3.04 eV per atom
D(E_F)   2.3 states/eV per cell

Ho3Sn2Rh6: relaxed, PBE.

```
Ho3Sn2Rh6
1.0
7.761 0.000 -2.744
-3.880 6.721 -2.744
0.000 0.000 8.232
Ho Rh Sn
6 12 4
direct
0.000 0.294 0.294
0.294 0.000 0.294
0.706 0.000 0.706
0.706 0.706 0.000
0.000 0.706 0.706
0.294 0.294 0.000
0.302 0.651 0.651
0.349 0.349 0.698
0.349 0.698 0.349
0.000 0.651 0.349
0.651 0.000 0.349
0.349 0.000 0.651
0.651 0.349 0.000
0.651 0.302 0.651
0.698 0.349 0.349
0.000 0.349 0.651
0.651 0.651 0.302
0.349 0.651 0.000
0.000 0.000 0.500
0.000 0.500 0.000
0.500 0.500 0.500
0.500 0.000 0.000
```

Calculated values
Spin magnetization   0.00 Bohr magnetons per cell
Energy   -6.70 eV per atom
D(E_F)   11.5 states/eV per cell
Energy of formation from the pure elements   -715 meV/atom

AlRuBr2: relaxed, PBE.

```
AlRuBr2
1.0
-2.892 1.827 -0.133
-1.339 -1.939 2.483
2.871 4.937 5.403
Ru Br Al
1 2 1
direct
0.000 0.000 0.577
0.000 0.000 0.903
0.500 0.500 0.343
0.500 0.500 0.677
```

Calculated values
Spin magnetization   1.03 Bohr magnetons per cell
Formation energy without anion corrections   -0.0356 eV per atom
Energy   -4.13 eV per atom
D(E_F)   3.0 states/eV per cell

LiNdDyAu: relaxed, PBE.

```
LiNdDyAu
1.0
-1.035 -3.299 1.412
2.704 0.963 4.232
-4.142 2.217 2.142
Dy Au Nd Li
1 1 1 1
direct
0.500 0.500 0.000
0.000 0.000 0.000
0.500 0.000 0.500
0.000 0.500 0.500
```

Calculated values
Spin magnetization   0.00 Bohr magnetons per cell
Energy   -4.02 eV per atom
D(E_F)   3.5 states/eV per cell
Energy of formation from the pure elements   -379 meV/atom

NdTm2Pd: relaxed, PBE.

```
NdTm2Pd
1.0
-3.385 0.421 0.918
0.611 -1.703 3.034
1.955 7.453 3.790
Nd Tm Pd
1 2 1
direct
0.500 0.500 0.500
0.000 0.000 0.808
0.000 0.000 0.192
0.500 0.500 0.000
```

Calculated values
Spin magnetization   0.00 Bohr magnetons per cell
Energy   -5.18 eV per atom
D(E_F)   4.2 states/eV per cell
Energy of formation from the pure elements   -449 meV/atom

PmDyScSe3: relaxed, PBE.

```
PmDyScSe3
1.0
4.052 0.000 0.000
0.000 8.344 -0.013
0.000 -2.226 8.977
Se Sc Dy Pm
6 2 2 2
direct
0.750 0.900 0.116
0.250 0.572 0.824
0.250 0.756 0.512
0.750 0.428 0.176
0.250 0.100 0.884
0.750 0.244 0.488
0.750 0.899 0.403
0.250 0.101 0.597
0.250 0.657 0.146
0.750 0.343 0.854
0.250 0.177 0.220
0.750 0.823 0.780
```

Calculated values
Spin magnetization   1.51 Bohr magnetons per cell
Formation energy without anion corrections   -1.5663 eV per atom
Energy   -5.92 eV per atom
D(E_F)   7.0 states/eV per cell

RbInPb: relaxed, PBE.

```
RbInPb
1.0
-1.728 3.503 -3.195
-1.373 -3.035 -6.690
-6.797 -0.071 0.804
In Rb Pb
2 2 2
direct
0.302 0.396 0.504
0.698 0.604 0.496
0.138 0.726 0.001
0.862 0.274 0.999
0.686 0.999 0.651
0.314 0.001 0.349
```

Calculated values
Spin magnetization   0.00 Bohr magnetons per cell
Energy   -2.54 eV per atom
D(E_F)   0.4 states/eV per cell
Energy of formation from the pure elements   -72 meV/atom

CdPb2C: relaxed, PBE.

```
CdPb2C
1.0
6.483 0.000 0.000
0.000 6.483 0.000
3.242 3.242 5.277
Pb Cd C
4 2 2
direct
0.875 0.793 0.750
0.543 0.125 0.250
0.207 0.625 0.250
0.375 0.457 0.750
0.000 0.000 0.000
0.750 0.250 0.500
0.250 0.750 0.500
0.500 0.500 0.000
```

Calculated values
Spin magnetization   0.00 Bohr magnetons per cell
Energy   -3.44 eV per atom
D(E_F)   0.0 states/eV per cell
Energy of formation from the pure elements   945 meV/atom

LaInTeF2: relaxed, PBE.

```
LaInTeF2
1.0
4.735 0.000 0.000
0.000 4.735 0.000
0.000 0.000 6.473
Te F In La
1 2 1 1
direct
0.000 0.000 0.500
0.500 0.000 0.000
0.000 0.500 0.000
0.500 0.500 0.500
0.000 0.000 0.000
```

Calculated values
Spin magnetization   0.00 Bohr magnetons per cell
Formation energy without anion corrections   -2.3938 eV per atom
Energy   -5.30 eV per atom
D(E_F)   0.4 states/eV per cell

Pa7In2: relaxed, PBE.

```
Pa7In2
1.0
5.589 0.000 0.000
-2.795 4.841 0.000
0.000 0.000 8.297
Pa In
7 2
direct
0.000 0.340 0.671
0.340 0.000 0.671
0.000 0.660 0.329
0.340 0.340 0.329
0.660 0.660 0.671
0.660 0.000 0.329
0.000 0.000 0.000
0.333 0.667 0.000
0.667 0.333 0.000
```

Calculated values
Spin magnetization   0.00 Bohr magnetons per cell
Energy   -7.94 eV per atom
D(E_F)   19.6 states/eV per cell
Energy of formation from the pure elements   58 meV/atom